The following is a DFT calculation (PBE) of crystalline Rb8As2Au at its relaxed geometry.

**Energy of formation from the pure elements**: -248 kJ/mol of formula units
**ρ**: 3.2 g cm⁻³

Cell lengths 5.697, 8.573, 11.815 Å; angles 107.17, 103.95, 90.00 degrees
Sites, in units of the cell vectors:
Rb  0.602  0.457  0.204
Rb  0.321  0.041  0.642
Rb  0.219  0.328  0.439
Rb  0.042  0.797  0.085
Rb  0.781  0.672  0.561
Rb  0.679  0.959  0.358
Rb  0.398  0.543  0.796
Rb  0.958  0.203  0.915
As  0.179  0.694  0.359
As  0.821  0.306  0.641
Au  0.500  0.000  0.000